Record 1
MnAgTe2: optimized geometry, GGA-PBE.

Values from the calculation:
* formation energy (no corrections): 23 kJ/mol of atoms

Cell: 7.168 6.830 7.012 Å, 90.00 90.00 90.00°
Atoms (fractional coordinates):
Mn: 0.141 0.250 0.122
Mn: 0.359 0.750 0.622
Mn: 0.641 0.250 0.378
Mn: 0.859 0.750 0.878
Ag: 0.019 0.250 0.514
Ag: 0.481 0.750 0.014
Ag: 0.519 0.250 0.986
Ag: 0.981 0.750 0.486
Te: 0.139 0.508 0.815
Te: 0.139 0.992 0.815
Te: 0.361 0.008 0.315
Te: 0.361 0.492 0.315
Te: 0.639 0.508 0.685
Te: 0.639 0.992 0.685
Te: 0.861 0.008 0.185
Te: 0.861 0.492 0.185

=====

Record 2
MnAgTe2: optimized geometry, GGA-PBE.

Values from the calculation:
* formation energy (no corrections): 12 kJ/mol of atoms

Cell: 11.943 11.943 5.304 Å, 90.00 90.00 164.29°
Atoms (fractional coordinates):
Mn: 0.068 0.932 0.750
Mn: 0.932 0.068 0.250
Ag: 0.310 0.690 0.750
Ag: 0.690 0.310 0.250
Te: 0.049 0.951 0.250
Te: 0.182 0.818 0.750
Te: 0.818 0.182 0.250
Te: 0.951 0.049 0.750

=====

Record 3
MnTlAgTe2: optimized geometry, GGA-PBE.

Values from the calculation:
* formation energy (no corrections): -11 kJ/mol of atoms

Cell: 8.235 8.235 6.511 Å, 90.00 90.00 135.50°
Atoms (fractional coordinates):
Mn: 0.250 0.250 0.000
Mn: 0.750 0.750 0.000
Tl: 0.250 0.750 0.729
Tl: 0.750 0.250 0.271
Ag: 0.000 0.000 0.500
Ag: 0.500 0.500 0.500
Te: 0.122 0.878 0.207
Te: 0.378 0.622 0.207
Te: 0.622 0.378 0.793
Te: 0.878 0.122 0.793

=====

Record 4
Mn2ZnAgTe: optimized geometry, GGA-PBE.

Values from the calculation:
* formation energy (no corrections): 60 kJ/mol of atoms

Cell: 4.740 4.740 4.819 Å, 90.00 90.00 90.00°
Atoms (fractional coordinates):
Mn: 0.000 0.500 0.000
Mn: 0.500 0.000 0.000
Zn: 0.000 0.000 0.000
Ag: 0.000 0.000 0.500
Te: 0.500 0.500 0.500

=====

Among the records above, which one has the highest formation energy (no corrections)?
Mn2ZnAgTe

=====

The highest formation energy (no corrections) belongs to which entry?
Mn2ZnAgTe

=====

The highest formation energy (no corrections) belongs to which entry?
Mn2ZnAgTe

=====

What did the third record say?
MnTlAgTe2: optimized geometry, GGA-PBE.

Values from the calculation:
* formation energy (no corrections): -11 kJ/mol of atoms

Cell: 8.235 8.235 6.511 Å, 90.00 90.00 135.50°
Atoms (fractional coordinates):
Mn: 0.250 0.250 0.000
Mn: 0.750 0.750 0.000
Tl: 0.250 0.750 0.729
Tl: 0.750 0.250 0.271
Ag: 0.000 0.000 0.500
Ag: 0.500 0.500 0.500
Te: 0.122 0.878 0.207
Te: 0.378 0.622 0.207
Te: 0.622 0.378 0.793
Te: 0.878 0.122 0.793